This record from Alexandria describes a relaxed Mg3Si4 crystal. The functional is PBE. Values from VASP.

Calculated values
The formation energy without anion corrections comes out at 1.75 kcal/mol of atoms. The density of states at the Fermi level comes out at 0.31 states/eV per atom. The calculation puts the total moment at 0.00 μB per atom. The calculation puts the electronic total energy at -3.706 eV/atom. As for the energy above the lowest structure with this stoichiometry: 24 meV/atom.

The structure in Quantum ESPRESSO input format:
```
&SYSTEM
  ibrav = 0, nat = 14, ntyp = 2
/
ATOMIC_SPECIES
Mg 24.30 Mg.upf
Si 28.09 Si.upf
CELL_PARAMETERS angstrom
8.120 -2.013 0.000
8.120 2.013 0.000
-0.049 0.000 8.010
ATOMIC_POSITIONS angstrom
Mg 0.000 0.000 0.000
Mg 2.556 0.000 1.412
Mg 8.202 0.000 5.528
Mg 11.557 0.000 3.952
Mg 13.032 0.000 0.482
Mg 14.906 0.000 3.346
Si 1.407 0.000 3.971
Si 2.721 0.000 6.003
Si 4.876 0.000 2.702
Si 5.089 0.000 5.226
Si 6.870 0.000 1.397
Si 8.978 0.000 2.667
Si 10.296 0.000 7.411
Si 14.267 0.000 6.050
```

***

This record from Alexandria describes a relaxed YSiIr3 crystal. The functional is PBE. Values from VASP.

Calculated values
The formation energy without anion corrections comes out at -6.60 kcal/mol of atoms. The density of states at the Fermi level comes out at 0.03 states/eV per atom. The calculation puts the total moment at 0.00 μB per atom. The calculation puts the electronic total energy at -7.980 eV/atom. As for the energy above the lowest structure with this stoichiometry: 0 meV/atom.

The structure in Quantum ESPRESSO input format:
```
&SYSTEM
  ibrav = 0, nat = 5, ntyp = 3
/
ATOMIC_SPECIES
Y 88.91 Y.upf
Si 28.09 Si.upf
Ir 192.22 Ir.upf
CELL_PARAMETERS angstrom
4.494 0.000 0.000
0.000 4.494 0.000
0.000 0.000 4.494
ATOMIC_POSITIONS angstrom
Y 0.000 0.000 0.000
Si 2.247 2.247 2.247
Ir 0.000 2.247 2.247
Ir 2.247 0.000 2.247
Ir 2.247 2.247 0.000
```

***

- Which formula does entry 1 have?
  Mg3Si4